1.
DFT (PBE-GGA) results for a geometry-optimized Sm6Ho4Sc structure.

Computed properties:
E_form = 0.500 eV/atom
space-group type = I-42m (121)
density of states at the Fermi level = 18.1 states/eV/cell
total magnetization = 2.34 μB per cell
total energy = -47.46 eV for the cell shown

```
Sm6Ho4Sc
1.0
-1.181 1.934 7.739
-7.595 -2.664 -0.493
6.205 -5.121 -1.974
Sm Ho Sc
6 4 1
Direct
0.041 0.401 0.443
0.401 0.041 0.443
0.599 0.599 0.557
0.000 0.500 0.000
0.959 0.959 0.557
0.500 0.000 0.000
0.108 0.768 0.876
0.892 0.892 0.124
0.768 0.108 0.876
0.232 0.232 0.124
0.500 0.500 0.000
```



2.
DFT (PBE-GGA) results for a geometry-optimized Sm15HoSc4 structure.

Computed properties:
E_form = 0.031 eV/atom
space-group type = P4/mmm (123)
density of states at the Fermi level = 25.1 states/eV/cell
total magnetization = 0.00 μB per cell
total energy = -100.07 eV for the cell shown

```
Sm15HoSc4
1.0
-3.945 0.368 -3.082
2.830 -1.619 -3.816
-6.350 -23.617 5.308
Sm Ho Sc
15 1 4
Direct
0.500 0.500 0.000
0.500 0.500 0.202
0.500 0.500 0.401
0.500 0.500 0.599
0.500 0.500 0.798
0.500 0.000 0.103
0.500 0.000 0.301
0.500 0.000 0.500
0.500 0.000 0.699
0.500 0.000 0.897
0.000 0.500 0.103
0.000 0.500 0.301
0.000 0.500 0.500
0.000 0.500 0.699
0.000 0.500 0.897
0.000 0.000 0.000
0.000 0.000 0.202
0.000 0.000 0.401
0.000 0.000 0.599
0.000 0.000 0.798
```



3.
DFT (PBE-GGA) results for a geometry-optimized Sm2HoSc structure.

Computed properties:
E_form = 0.040 eV/atom
space-group type = P4/mmm (123)
density of states at the Fermi level = 6.1 states/eV/cell
total magnetization = 0.00 μB per cell
total energy = -20.19 eV for the cell shown

```
Sm2HoSc
1.0
4.897 0.000 0.000
0.000 4.993 0.000
0.000 0.000 4.993
Sc Ho Sm
1 1 2
Direct
0.500 0.500 0.500
0.500 0.000 0.000
0.000 0.000 0.500
0.000 0.500 0.000
```



Number 3 is which compound? Sm2HoSc



What is the density of states at the Fermi level in the third record? 6.1 states/eV/cell



Look up the E_form of the third one. 0.040 eV/atom



Which of these has the lowest E_form? Sm15HoSc4